Zn2CoTe (meta-GGA SCAN, single point on PBEsol structure); formation energy (no corrections) = 302 meV per atom; D(E_F) = 1.80 states/eV per cell; SG = R3m; VASP energy = -80.379 eV per cell; theoretical density = 7.65 g/cm3
1.0
3.2098 0.0000 0.0000
1.6049 2.7798 0.0000
1.6049 0.9266 7.7192
Co Te Zn
1 1 2
direct
0.4986 0.4986 0.5043
0.2332 0.2332 0.3003
0.0107 0.0107 0.9680
0.7575 0.7575 0.7274


Zn2CoTe (meta-GGA SCAN, single point on PBEsol structure); formation energy (no corrections) = 253 meV per atom; D(E_F) = 1.51 states/eV per cell; SG = P2/m; VASP energy = -80.574 eV per cell; theoretical density = 7.79 g/cm3
1.0
4.0539 0.0326 0.0000
-0.7355 3.9743 0.0000
0.0000 0.0000 4.1923
Zn Te Co
2 1 1
direct
0.2002 0.3002 0.0000
0.7998 0.6998 0.0000
0.5000 0.0000 0.5000
0.0000 0.5000 0.5000


Zn2CoTe (meta-GGA SCAN, single point on PBEsol structure); formation energy (no corrections) = 351 meV per atom; D(E_F) = 1.64 states/eV per cell; SG = P4/mmm; VASP energy = -80.183 eV per cell; theoretical density = 8.54 g/cm3
1.0
3.7635 0.0000 0.0000
0.0000 3.7635 0.0000
0.0000 0.0000 4.3558
Te Co Zn
1 1 2
direct
0.0000 0.0000 0.5000
0.5000 0.5000 0.5000
0.5000 0.0000 0.0000
0.0000 0.5000 0.0000


ZrCo3Te (meta-GGA SCAN, single point on PBEsol structure); formation energy (no corrections) = 1411 meV per atom; D(E_F) = 2.52 states/eV per cell; SG = Pm-3m; VASP energy = -112.810 eV per cell; theoretical density = 7.25 g/cm3
1.0
4.4919 0.0000 0.0000
0.0000 4.4919 0.0000
0.0000 0.0000 4.4919
Zr Te Co
1 1 3
direct
0.0000 0.0000 0.0000
0.5000 0.5000 0.5000
0.0000 0.0000 0.5000
0.0000 0.5000 0.0000
0.5000 0.0000 0.0000


Zr2CoTe (meta-GGA SCAN, single point on PBEsol structure); formation energy (no corrections) = -235 meV per atom; D(E_F) = 3.26 states/eV per cell; SG = P4mm; VASP energy = -116.893 eV per cell; theoretical density = 7.85 g/cm3
1.0
3.6119 0.0000 0.0000
0.0000 3.6119 0.0000
0.0000 0.0000 5.9829
Zr Te Co
2 1 1
direct
0.0000 0.0000 0.9940
0.5000 0.5000 0.2899
0.5000 0.5000 0.7682
0.0000 0.0000 0.4479


ZrCoTe (meta-GGA SCAN, single point on PBEsol structure); formation energy (no corrections) = -65 meV per atom; D(E_F) = 2.68 states/eV per cell; SG = I4mm; VASP energy = -85.450 eV per cell; theoretical density = 8.53 g/cm3
1.0
-0.1342 -2.7577 1.8017
3.0662 0.5545 1.0771
-3.2838 3.6977 2.3987
Co Zr Te
1 1 1
direct
0.9916 0.9916 0.9831
0.3576 0.3576 0.7153
0.6508 0.6508 0.3016


Zr2CoTe (meta-GGA SCAN, single point on PBEsol structure); formation energy (no corrections) = -343 meV per atom; D(E_F) = 2.36 states/eV per cell; SG = I4/mmm; VASP energy = -117.326 eV per cell; theoretical density = 8.35 g/cm3
1.0
-1.7146 2.0144 3.3574
1.5936 -2.9888 2.6071
3.4215 2.6465 -2.5613
Te Zr Co
1 2 1
direct
0.0000 0.0000 0.0000
0.7500 0.2500 0.5000
0.2500 0.7500 0.5000
0.5000 0.5000 0.0000


Zr2CoTe (meta-GGA SCAN, single point on PBEsol structure); formation energy (no corrections) = -252 meV per atom; D(E_F) = 3.59 states/eV per cell; SG = Cmmm; VASP energy = -116.960 eV per cell; theoretical density = 8.06 g/cm3
1.0
-2.1731 1.9209 -1.3909
1.0106 -1.7578 -2.4971
-5.3618 -5.0586 1.3909
Co Te Zr
1 1 2
direct
0.5000 0.5000 0.5000
0.5000 0.5000 0.0000
0.0000 0.0000 0.2870
0.0000 0.0000 0.7130


Zr6CoTe2 (meta-GGA SCAN, single point on PBEsol structure); formation energy (no corrections) = -635 meV per atom; D(E_F) = 5.64 states/eV per cell; SG = P-62m; VASP energy = -281.714 eV per cell; theoretical density = 7.80 g/cm3
1.0
3.5818 0.0000 0.0000
0.0000 7.6905 0.0000
0.0000 -3.8452 6.6602
Te Zr Co
2 6 1
direct
0.5000 0.3333 0.6667
0.5000 0.6667 0.3333
0.0000 0.4050 0.4050
0.0000 0.5950 0.0000
0.5000 0.7610 0.7610
0.5000 0.0000 0.2390
0.5000 0.2390 0.0000
0.0000 0.0000 0.5950
0.0000 0.0000 0.0000


Zr2CoTe (meta-GGA SCAN, single point on PBEsol structure); formation energy (no corrections) = -472 meV per atom; D(E_F) = 3.70 states/eV per cell; SG = Amm2; VASP energy = -117.841 eV per cell; theoretical density = 8.09 g/cm3
1.0
3.8298 0.0000 0.0000
0.0000 3.7970 0.0000
-1.9149 0.0000 5.2065
Te Zr Co
1 2 1
direct
0.5503 0.5000 0.1006
0.9550 0.0000 0.9100
0.2658 0.5000 0.5316
0.7120 0.0000 0.4241


Th7Co3 (meta-GGA SCAN, single point on PBEsol structure); calculated formation energy = -184 kJ/mol of formula units; D(E_F) = 19.93 states/eV per cell; SG = P6_3mc; VASP energy = -1450.516 eV per cell; theoretical density = 12.34 g/cm3
1.0
6.0760 0.0000 0.0000
0.0000 9.5986 0.0000
0.0000 -4.7993 8.3126
Th Co
14 6
direct
0.2535 0.7481 0.8741
0.9521 0.0880 0.5440
0.4488 0.3333 0.6667
0.9521 0.4560 0.5440
0.4521 0.9120 0.4560
0.4521 0.5440 0.4560
0.9521 0.4560 0.9120
0.7535 0.8741 0.7481
0.2535 0.1259 0.2519
0.2535 0.1259 0.8741
0.4521 0.5440 0.0880
0.9488 0.6667 0.3333
0.7535 0.2519 0.1259
0.7535 0.8741 0.1259
0.7014 0.1849 0.3698
0.2014 0.3698 0.1849
0.2014 0.8151 0.1849
0.7014 0.1849 0.8151
0.7014 0.6302 0.8151
0.2014 0.8151 0.6302


ThCo (meta-GGA SCAN, single point on PBEsol structure); calculated formation energy = -42 kJ/mol of formula units; D(E_F) = 2.41 states/eV per cell; SG = Cmcm; VASP energy = -227.316 eV per cell; theoretical density = 12.24 g/cm3
1.0
3.6845 0.0000 0.0000
0.0000 3.9140 0.0000
-1.8423 0.0000 5.4757
Th Co
2 2
direct
0.1337 0.7500 0.2673
0.8663 0.2500 0.7327
0.5922 0.2500 0.1843
0.4078 0.7500 0.8157


ThCo3 (meta-GGA SCAN, single point on PBEsol structure); calculated formation energy = -12 kJ/mol of formula units; D(E_F) = 11.15 states/eV per cell; SG = R-3m; VASP energy = -443.869 eV per cell; theoretical density = 12.07 g/cm3
1.0
-0.6157 -4.4295 1.9672
2.4951 -3.8184 -1.7501
6.6525 -1.2369 5.3641
Th Co
3 9
direct
0.0000 0.0000 0.0000
0.1375 0.1375 0.5874
0.8625 0.8625 0.4126
0.4209 0.4209 0.2392
0.9190 0.4209 0.2392
0.5791 0.0810 0.7608
0.4209 0.9190 0.2392
0.3328 0.3328 0.0017
0.5791 0.5791 0.7608
0.0810 0.5791 0.7608
0.5000 0.5000 0.5000
0.6672 0.6672 0.9983


Th2Co17 (meta-GGA SCAN, single point on PBEsol structure); calculated formation energy = -53 kJ/mol of formula units; D(E_F) = 19.11 states/eV per cell; SG = R-3m; VASP energy = -486.556 eV per cell; theoretical density = 10.40 g/cm3
1.0
-3.9743 -4.1325 -2.3710
-1.6277 -2.6356 5.3758
-5.1611 3.3177 0.9223
Co Th
17 2
direct
0.9029 0.9029 0.9029
0.0971 0.0971 0.0971
0.8533 0.3452 0.3452
0.2847 0.0000 0.7153
0.3452 0.3452 0.8533
0.0000 0.7153 0.2847
0.6548 0.6548 0.1467
0.7153 0.0000 0.2847
0.5000 0.0000 0.0000
0.0000 0.0000 0.5000
0.0000 0.2847 0.7153
0.0000 0.5000 0.0000
0.6548 0.1467 0.6548
0.7153 0.2847 0.0000
0.1467 0.6548 0.6548
0.2847 0.7153 0.0000
0.3452 0.8533 0.3452
0.6563 0.6563 0.6563
0.3437 0.3437 0.3437


TiTl3Co (meta-GGA SCAN, single point on PBEsol structure); calculated formation energy = 484 kJ/mol of formula units; D(E_F) = 3.55 states/eV per cell; SG = Pm-3m; VASP energy = -245.394 eV per cell; theoretical density = 8.34 g/cm3
1.0
5.2335 0.0000 0.0000
0.0000 5.2335 0.0000
0.0000 0.0000 5.2335
Tl Co Ti
3 1 1
direct
0.0000 0.0000 0.5000
0.0000 0.5000 0.0000
0.5000 0.0000 0.0000
0.5000 0.5000 0.5000
0.0000 0.0000 0.0000


TiTlCo2 (meta-GGA SCAN, single point on PBEsol structure); calculated formation energy = 6 kJ/mol of formula units; D(E_F) = 3.40 states/eV per cell; SG = Fm-3m; VASP energy = -122.929 eV per cell; theoretical density = 11.17 g/cm3
1.0
4.2690 0.0000 0.0000
2.1345 3.6971 0.0000
2.1345 1.2324 3.4856
Co Ti Tl
2 1 1
direct
0.7500 0.7500 0.7500
0.2500 0.2500 0.2500
0.0000 0.0000 0.0000
0.5000 0.5000 0.5000


YTi2Co2 (meta-GGA SCAN, single point on PBEsol structure); calculated formation energy = -124 kJ/mol of formula units; D(E_F) = 4.00 states/eV per cell; SG = I4/mmm; VASP energy = -95.799 eV per cell; theoretical density = 6.18 g/cm3
1.0
-3.9415 0.2493 1.0552
0.9925 -0.7720 3.8897
1.9940 5.0296 -1.6586
Co Y Ti
2 1 2
direct
0.6156 0.6156 0.2312
0.3844 0.3844 0.7688
0.0000 0.0000 0.0000
0.2500 0.7500 0.5000
0.7500 0.2500 0.5000


Ti2ZnCo2 (meta-GGA SCAN, single point on PBEsol structure); calculated formation energy = -130 kJ/mol of formula units; D(E_F) = 7.86 states/eV per cell; SG = P4/mbm; VASP energy = -163.053 eV per cell; theoretical density = 7.09 g/cm3
1.0
-1.4444 -0.0366 2.4506
0.9416 -6.6992 0.4550
5.7650 1.0421 3.4134
Zn Co Ti
2 4 4
direct
0.0000 0.0000 0.0000
0.0000 0.5000 0.5000
0.0000 0.8637 0.6363
0.0000 0.6363 0.1363
0.0000 0.3637 0.8637
0.0000 0.1363 0.3637
0.5000 0.8375 0.3375
0.5000 0.3375 0.1625
0.5000 0.6625 0.8375
0.5000 0.1625 0.6625


ZrTiCo3 (meta-GGA SCAN, single point on PBEsol structure); calculated formation energy = 271 kJ/mol of formula units; D(E_F) = 2.41 states/eV per cell; SG = Pm-3m; VASP energy = -95.833 eV per cell; theoretical density = 7.12 g/cm3
1.0
4.1917 0.0000 0.0000
0.0000 4.1917 0.0000
0.0000 0.0000 4.1917
Co Zr Ti
3 1 1
direct
0.0000 0.5000 0.0000
0.5000 0.0000 0.0000
0.0000 0.0000 0.5000
0.5000 0.5000 0.5000
0.0000 0.0000 0.0000


Zr3TiCo (meta-GGA SCAN, single point on PBEsol structure); calculated formation energy = 509 kJ/mol of formula units; D(E_F) = 5.26 states/eV per cell; SG = Pm-3m; VASP energy = -120.154 eV per cell; theoretical density = 5.79 g/cm3
1.0
-3.5588 -1.3672 -2.8819
3.1662 -0.9903 -3.4401
0.3869 -4.4710 1.6432
Zr Co Ti
3 1 1
direct
0.0000 0.0000 0.5000
0.5000 0.0000 0.0000
0.0000 0.5000 0.0000
0.5000 0.5000 0.5000
0.0000 0.0000 0.0000


Zr2TiCo2 (meta-GGA SCAN, single point on PBEsol structure); calculated formation energy = -74 kJ/mol of formula units; D(E_F) = 10.31 states/eV per cell; SG = P4/mbm; VASP energy = -225.597 eV per cell; theoretical density = 7.32 g/cm3
1.0
3.3585 0.0000 0.0000
0.0000 6.8595 0.0000
0.0000 0.0000 6.8595
Ti Zr Co
2 4 4
direct
0.0000 0.0000 0.0000
0.0000 0.5000 0.5000
0.5000 0.3273 0.1727
0.5000 0.8273 0.3273
0.5000 0.6727 0.8273
0.5000 0.1727 0.6727
0.0000 0.1280 0.3720
0.0000 0.6280 0.1280
0.0000 0.8720 0.6280
0.0000 0.3720 0.8720


TlCo3 (meta-GGA SCAN, single point on PBEsol structure); calculated formation energy = 157 kJ/mol of formula units; D(E_F) = 2.23 states/eV per cell; SG = P4/mmm; VASP energy = -122.645 eV per cell; theoretical density = 11.94 g/cm3
1.0
2.9013 0.0000 0.0000
0.0000 2.9013 0.0000
0.0000 0.0000 6.2984
Tl Co
1 3
direct
0.5000 0.5000 0.0000
0.5000 0.5000 0.5000
0.0000 0.0000 0.7003
0.0000 0.0000 0.2997


TlCo (meta-GGA SCAN, single point on PBEsol structure); calculated formation energy = 141 kJ/mol of formula units; D(E_F) = 0.84 states/eV per cell; SG = P-6m2; VASP energy = -88.205 eV per cell; theoretical density = 13.11 g/cm3
1.0
3.1093 0.0000 0.0000
-1.5547 2.6928 0.0000
0.0000 0.0000 3.9828
Co Tl
1 1
direct
0.0000 0.0000 0.0000
0.3333 0.6667 0.5000


TlCo3 (meta-GGA SCAN, single point on PBEsol structure); calculated formation energy = 202 kJ/mol of formula units; D(E_F) = 3.02 states/eV per cell; SG = C2/m; VASP energy = -122.180 eV per cell; theoretical density = 11.90 g/cm3
1.0
2.8386 0.0000 0.0000
-1.4193 4.2056 0.0243
0.0000 -1.0971 4.4485
Co Tl
3 1
direct
0.7650 0.5299 0.3011
0.5000 0.0000 0.5000
0.2350 0.4701 0.6989
0.0000 0.0000 0.0000


Tl2Co3 (meta-GGA SCAN, single point on PBEsol structure); calculated formation energy = 218 kJ/mol of formula units; D(E_F) = 2.74 states/eV per cell; SG = P-3m1; VASP energy = -194.366 eV per cell; theoretical density = 10.77 g/cm3
1.0
3.9048 0.0000 0.0000
-1.9524 3.3816 0.0000
0.0000 0.0000 6.8355
Co Tl
3 2
direct
0.0000 0.0000 0.0000
0.3333 0.6667 0.0702
0.6667 0.3333 0.9298
0.6667 0.3333 0.3282
0.3333 0.6667 0.6718


TlCo5 (meta-GGA SCAN, single point on PBEsol structure); calculated formation energy = 229 kJ/mol of formula units; D(E_F) = 4.02 states/eV per cell; SG = Cm; VASP energy = -156.501 eV per cell; theoretical density = 11.31 g/cm3
1.0
2.7263 0.0000 0.0000
-1.3632 4.6708 -0.0203
0.0000 -1.6719 5.7598
Tl Co
1 5
direct
0.2911 0.5821 0.0755
0.3258 0.6517 0.6431
0.9576 0.9152 0.4297
0.0025 0.0050 0.9641
0.6082 0.2163 0.7152
0.6481 0.2963 0.3391


TlCo (meta-GGA SCAN, single point on PBEsol structure); calculated formation energy = 81 kJ/mol of formula units; D(E_F) = 2.14 states/eV per cell; SG = P4/nmm; VASP energy = -177.651 eV per cell; theoretical density = 12.17 g/cm3
1.0
-1.0014 -1.8042 2.2396
-1.2277 -1.8764 -2.0605
6.6184 -4.0221 -0.2808
Co Tl
2 2
direct
0.0000 0.5000 0.9366
0.5000 0.0000 0.0634
0.0000 0.5000 0.3151
0.5000 0.0000 0.6849